No. 1
Material: La2PrNd2Dy
Method: DFT, PBE-GGA
State: optimized geometry

Values from the calculation:
Total energy   -4.746 eV/atom

```
data_La2PrNd2Dy
_chemical_formula_sum 'La4 Pr2 Nd4 Dy2'
_cell_length_a 7.174
_cell_length_b 5.827
_cell_length_c 10.116
_cell_angle_alpha 90.00
_cell_angle_beta 90.00
_cell_angle_gamma 90.00
_symmetry_space_group_name_H-M 'P m m a'
_symmetry_Int_Tables_number 51
_symmetry_space_group_name_Hall '-P 2a 2a'
loop_
_atom_site_label
_atom_site_type_symbol
_atom_site_fract_x
_atom_site_fract_y
_atom_site_fract_z
La1 La 0.000 0.000 0.000
La2 La 0.250 0.500 0.170
Pr1 Pr 0.000 0.500 0.500
Nd1 Nd 0.250 0.000 0.332
Nd2 Nd 0.250 0.500 0.835
Dy1 Dy 0.250 0.000 0.663
```

---

No. 2
Material: Li2HfNi2
Method: DFT, PBE-GGA
State: optimized geometry

Values from the calculation:
Total energy   -5.198 eV/atom
Energy relative to the lowest polymorph listed for this composition   0.0000 eV/atom

```
data_Li2HfNi2
_chemical_formula_sum 'Li4 Hf2 Ni4'
_cell_length_a 3.381
_cell_length_b 3.381
_cell_length_c 12.636
_cell_angle_alpha 90.00
_cell_angle_beta 90.00
_cell_angle_gamma 90.00
_symmetry_space_group_name_H-M 'I 4/m m m'
_symmetry_Int_Tables_number 139
_symmetry_space_group_name_Hall '-I 4 2'
loop_
_atom_site_label
_atom_site_type_symbol
_atom_site_fract_x
_atom_site_fract_y
_atom_site_fract_z
Li1 Li 0.000 0.500 0.250
Hf1 Hf 0.000 0.000 0.000
Ni1 Ni 0.000 0.000 0.405
```

---

No. 3
Material: Th6Mn2Al
Method: DFT, PBE-GGA
State: optimized geometry

Values from the calculation:
Total energy   -7.401 eV/atom

```
data_Th6Mn2Al
_chemical_formula_sum 'Th24 Mn8 Al4'
_cell_length_a 9.357
_cell_length_b 9.616
_cell_length_c 10.384
_cell_angle_alpha 90.00
_cell_angle_beta 90.00
_cell_angle_gamma 90.00
_symmetry_space_group_name_H-M 'I m m m'
_symmetry_Int_Tables_number 71
_symmetry_space_group_name_Hall '-I 2 2'
loop_
_atom_site_label
_atom_site_type_symbol
_atom_site_fract_x
_atom_site_fract_y
_atom_site_fract_z
Th1 Th 0.000 0.198 0.246
Th2 Th 0.189 0.500 0.174
Th3 Th 0.222 0.310 0.500
Mn1 Mn 0.000 0.336 0.000
Mn2 Mn 0.000 0.500 0.396
Al1 Al 0.000 0.000 0.000
Al2 Al 0.000 0.000 0.500
```

---

No. 4
Material: Ca8AcBi6
Method: DFT, PBE-GGA
State: optimized geometry

Values from the calculation:
Total energy   -3.697 eV/atom

```
data_Ca8AcBi6
_chemical_formula_sum 'Ca24 Ac3 Bi18'
_cell_length_a 9.0428
_cell_length_b 9.0428
_cell_length_c 23.6736
_cell_angle_alpha 90.00
_cell_angle_beta 90.00
_cell_angle_gamma 120.00
_symmetry_space_group_name_H-M 'R -3'
_symmetry_Int_Tables_number 148
_symmetry_space_group_name_Hall '-R 3'
loop_
_atom_site_label
_atom_site_type_symbol
_atom_site_fract_x
_atom_site_fract_y
_atom_site_fract_z
Ca1 Ca 0.0000 0.0000 0.1665
Ca2 Ca 0.0004 0.3366 0.3831
Ac1 Ac 0.0000 0.0000 0.5000
Bi1 Bi 0.0001 0.3343 0.5745
```

---

No. 5
Material: TbPm3Pb4
Method: DFT, PBE-GGA
State: optimized geometry

Values from the calculation:
Total energy   -4.696 eV/atom
Energy relative to the lowest polymorph listed for this composition   0.0000 eV/atom

```
data_TbPm3Pb4
_chemical_formula_sum 'Tb2 Pm6 Pb8'
_cell_length_a 11.281
_cell_length_b 6.524
_cell_length_c 6.525
_cell_angle_alpha 90.00
_cell_angle_beta 90.00
_cell_angle_gamma 90.00
_symmetry_space_group_name_H-M 'P m n 21'
_symmetry_Int_Tables_number 31
_symmetry_space_group_name_Hall 'P 2ac -2'
loop_
_atom_site_label
_atom_site_type_symbol
_atom_site_fract_x
_atom_site_fract_y
_atom_site_fract_z
Tb1 Tb 0.000 0.001 0.000
Pm1 Pm 0.000 0.500 0.500
Pm2 Pm 0.250 0.250 0.250
Pb1 Pb 0.000 0.000 0.500
Pb2 Pb 0.000 0.500 0.000
Pb3 Pb 0.249 0.751 0.250
```

---

No. 6
Material: BaSc3Ge
Method: DFT, PBE-GGA
State: optimized geometry

Values from the calculation:
Total energy   -5.085 eV/atom
Energy relative to the lowest polymorph listed for this composition   0.0000 eV/atom

```
data_BaSc3Ge
_chemical_formula_sum 'Ba1 Sc3 Ge1'
_cell_length_a 5.332
_cell_length_b 5.332
_cell_length_c 5.332
_cell_angle_alpha 90.00
_cell_angle_beta 90.00
_cell_angle_gamma 90.00
_symmetry_space_group_name_H-M 'P m -3 m'
_symmetry_Int_Tables_number 221
_symmetry_space_group_name_Hall '-P 4 2 3'
loop_
_atom_site_label
_atom_site_type_symbol
_atom_site_fract_x
_atom_site_fract_y
_atom_site_fract_z
Ba1 Ba 0.000 0.000 0.000
Sc1 Sc 0.000 0.500 0.500
Ge1 Ge 0.500 0.500 0.500
```

---

No. 7
Material: ZrReMo3
Method: DFT, PBE-GGA
State: optimized geometry

Values from the calculation:
Total energy   -8.235 eV/atom
Energy relative to the lowest polymorph listed for this composition   1.2000 eV/atom

```
data_ZrReMo3
_chemical_formula_sum 'Zr1 Re1 Mo3'
_cell_length_a 4.661
_cell_length_b 4.661
_cell_length_c 4.661
_cell_angle_alpha 90.00
_cell_angle_beta 90.00
_cell_angle_gamma 90.00
_symmetry_space_group_name_H-M 'P m -3 m'
_symmetry_Int_Tables_number 221
_symmetry_space_group_name_Hall '-P 4 2 3'
loop_
_atom_site_label
_atom_site_type_symbol
_atom_site_fract_x
_atom_site_fract_y
_atom_site_fract_z
Zr1 Zr 0.000 0.000 0.000
Re1 Re 0.500 0.500 0.500
Mo1 Mo 0.000 0.000 0.500
```

---

No. 8
Material: Ac3Sm2ErSe6
Method: DFT, PBE-GGA
State: optimized geometry

Values from the calculation:
Total energy   -5.751 eV/atom

```
data_Ac3Sm2ErSe6
_chemical_formula_sum 'Ac6 Sm4 Er2 Se12'
_cell_length_a 7.310
_cell_length_b 12.702
_cell_length_c 7.646
_cell_angle_alpha 90.00
_cell_angle_beta 108.70
_cell_angle_gamma 90.00
_symmetry_space_group_name_H-M 'C 1 2/m 1'
_symmetry_Int_Tables_number 12
_symmetry_space_group_name_Hall '-C 2y'
loop_
_atom_site_label
_atom_site_type_symbol
_atom_site_fract_x
_atom_site_fract_y
_atom_site_fract_z
Ac1 Ac 0.000 0.000 0.000
Ac2 Ac 0.000 0.330 0.000
Sm1 Sm 0.000 0.167 0.500
Er1 Er 0.000 0.500 0.500
Se1 Se 0.237 0.337 0.723
Se2 Se 0.249 0.500 0.273
```

---

| no. | mass density (g cm⁻³) |
| --- | --- |
| 1 | 6.83 |
| 2 | 7.12 |
| 3 | 10.87 |
| 4 | 5.35 |
| 5 | 9.84 |
| 6 | 3.78 |
| 7 | 9.27 |
| 8 | 8.01 |